1.
Material: Tb12BiRu5
Method: DFT, PBE
State: relaxed

Computed properties:
The formation energy comes out at -0.38 eV/atom.

Unit cell a=8.477 b=8.477 c=8.477 alpha=105.43 beta=112.61 gamma=110.45
Element x y z (fractional)
1 Tb 0.807 0.036 0.229
2 Tb 0.316 0.326 0.642
3 Tb 0.684 0.674 0.358
4 Tb 0.193 0.423 0.229
5 Tb 0.193 0.964 0.771
6 Tb 0.554 0.825 0.729
7 Tb 0.905 0.175 0.729
8 Tb 0.684 0.326 0.010
9 Tb 0.316 0.674 0.990
10 Tb 0.446 0.175 0.271
11 Tb 0.807 0.577 0.771
12 Tb 0.095 0.825 0.271
13 Ru 0.335 0.335 0.000
14 Ru 0.500 0.878 0.378
15 Ru 0.500 0.122 0.622
16 Ru 0.000 0.000 0.000
17 Ru 0.665 0.665 0.000
18 Bi 0.000 0.500 0.500

---

2.
Material: As5C
Method: DFT, PBE
State: relaxed

Computed properties:
The formation energy comes out at 0.79 eV/atom. The value obtained for the relative energy among the computed polymorphs is 265 meV per atom.

Unit cell a=6.236 b=6.236 c=5.234 alpha=90.00 beta=90.00 gamma=148.05
Element x y z (fractional)
1 As 0.666 0.334 0.000
2 As 0.000 0.000 0.000
3 As 0.629 0.371 0.500
4 As 0.334 0.666 0.000
5 As 0.371 0.629 0.500
6 C 0.000 0.000 0.500

---

3.
Material: TbEr2SnC
Method: DFT, PBE
State: relaxed

Computed properties:
The formation energy comes out at -0.64 eV/atom.

Unit cell a=4.918 b=4.840 c=4.840 alpha=90.00 beta=90.00 gamma=90.00
Element x y z (fractional)
1 Er 0.000 0.500 0.000
2 Er 0.000 0.000 0.500
3 Sn 0.500 0.500 0.500
4 C 0.000 0.000 0.000
5 Tb 0.500 0.000 0.000

---

4.
Material: PmIrPd
Method: DFT, PBE
State: relaxed

Computed properties:
The formation energy comes out at -0.27 eV/atom. The value obtained for the relative energy among the computed polymorphs is 422 meV per atom.

Unit cell a=3.583 b=3.583 c=5.272 alpha=109.86 beta=109.86 gamma=90.00
Element x y z (fractional)
1 Ir 0.278 0.278 0.556
2 Pd 0.626 0.626 0.251
3 Pm 0.946 0.946 0.893